(1)
Ta2FeNi: PBEsol geometry, meta-GGA SCAN.

It has space group Cm (No. 8), with a = 8.8034 Å, b = 2.8880 Å, c = 4.4839 Å, α = 90.00°, β = 101.13° and γ = 90.00°. The inequivalent atoms are Ta at (0.0000, 0.0000, 0.0000), Ta at (0.2294, 0.0000, 0.6563), Fe at (0.4774, 0.0000, 0.4619) and Ni at (0.2444, 0.5000, 0.1804).

The total magnetization comes out at 0.00 μB/cell. For the final energy, the calculation gives -1.5368 Ha/atom. The density of states at the Fermi level comes out at 5.98 states/eV/cell. Its formation energy is 0.20 eV/f.u.

(2)
La4Mg: PBEsol geometry, meta-GGA SCAN.

It has space group I4/m (No. 87), with a = 7.9906 Å, b = 7.9906 Å, c = 4.9928 Å, α = 90.00°, β = 90.00° and γ = 90.00°. The inequivalent atoms are La at (0.1078, 0.3017, 0.0000) and Mg at (0.0000, 0.0000, 0.5000).

The total magnetization comes out at 0.05 μB/cell. For the final energy, the calculation gives -1.3052 Ha/atom. The density of states at the Fermi level comes out at 11.55 states/eV/cell. Its formation energy is -0.18 eV/f.u. Its energy above the most stable polymorph in this dataset is 0 meV/atom.